1.
Sr2SbO2 | PBE-GGA | relaxed

Calculated values
Volume = 118.7 Å³/cell
Formation energy (no corrections) = -1569 meV/atom
DFT total energy = -5.05 eV/atom

Structure (POSCAR):
```
Sr2SbO2
1.0
-2.226 2.226 5.992
2.226 -2.226 5.992
2.226 2.226 -5.992
Sr Sb O
2 1 2
Direct
0.171 0.171 0.000
0.829 0.829 0.000
0.500 0.500 0.000
0.250 0.750 0.500
0.750 0.250 0.500
```

=====

2.
CaY2Er | PBE-GGA | relaxed

Calculated values
Volume = 133.5 Å³/cell
ΔH_f (0 K) = 0.139 eV per atom
DFT total energy = -4.73 eV/atom

Structure (POSCAR):
```
CaY2Er
1.0
5.126 0.000 0.000
0.000 5.126 0.000
0.000 0.000 5.082
Ca Y Er
1 2 1
Direct
0.000 0.000 0.000
0.000 0.500 0.500
0.500 0.000 0.500
0.500 0.500 0.000
```

=====

3.
Rb2SmInF6 | PBE-GGA | relaxed

Calculated values
Volume = 440.5 Å³/cell
Formation energy (no corrections) = -3057 meV/atom
DFT total energy = -5.12 eV/atom

Structure (POSCAR):
```
Rb2SmInF6
1.0
6.690 0.000 0.000
0.000 6.907 0.000
-6.590 0.000 9.533
Rb Sm In F
4 2 2 12
Direct
0.231 0.045 0.246
0.231 0.455 0.746
0.769 0.545 0.254
0.769 0.955 0.754
0.500 0.000 0.000
0.500 0.500 0.500
0.000 0.000 0.500
0.000 0.500 0.000
0.183 0.183 0.956
0.183 0.317 0.456
0.257 0.736 0.932
0.257 0.764 0.432
0.382 0.054 0.777
0.382 0.446 0.277
0.618 0.554 0.723
0.618 0.946 0.223
0.743 0.236 0.568
0.743 0.264 0.068
0.817 0.683 0.544
0.817 0.817 0.044
```

=====

4.
CrReHg | PBE-GGA | relaxed

Calculated values
Volume = 49.3 Å³/cell
ΔH_f (0 K) = 0.585 eV per atom
DFT total energy = -6.87 eV/atom

Structure (POSCAR):
```
CrReHg
1.0
0.000 2.323 6.929
1.531 0.000 6.929
1.531 2.323 0.000
Cr Re Hg
1 1 1
Direct
0.000 0.000 0.000
0.632 0.632 0.368
0.324 0.324 0.676
```

=====

5.
Si2SbOs2 | PBE-GGA | relaxed

Calculated values
Volume = 81.4 Å³/cell
Formation energy (no corrections) = -96 meV/atom
DFT total energy = -7.58 eV/atom

Structure (POSCAR):
```
Si2SbOs2
1.0
-1.842 1.842 6.003
1.842 -1.842 6.003
1.842 1.842 -6.003
Si Sb Os
2 1 2
Direct
0.250 0.750 0.500
0.750 0.250 0.500
0.000 0.000 0.000
0.381 0.381 0.000
0.619 0.619 0.000
```

=====

6.
Ba7Cd2Pb2 | PBE-GGA | relaxed

Calculated values
Volume = 528.7 Å³/cell
ΔH_f (0 K) = -0.188 eV per atom
DFT total energy = -2.25 eV/atom

Structure (POSCAR):
```
Ba7Cd2Pb2
1.0
4.583 -6.510 0.000
4.583 6.510 0.000
0.000 0.000 8.860
Ba Cd Pb
7 2 2
Direct
0.000 0.000 0.000
0.000 0.500 0.286
0.000 0.500 0.714
0.500 0.000 0.286
0.500 0.000 0.714
0.500 0.500 0.261
0.500 0.500 0.739
0.289 0.711 0.000
0.711 0.289 0.000
0.171 0.171 0.500
0.829 0.829 0.500
```

=====

7.
BaTc2Rh | PBE-GGA | relaxed

Calculated values
Volume = 80.5 Å³/cell
ΔH_f (0 K) = 0.453 eV per atom
DFT total energy = -7.05 eV/atom

Structure (POSCAR):
```
BaTc2Rh
1.0
3.182 0.000 0.000
0.000 3.182 0.000
0.000 0.000 7.955
Ba Tc Rh
1 2 1
Direct
0.000 0.000 0.000
0.000 0.000 0.509
0.500 0.500 0.662
0.500 0.500 0.310
```

=====

8.
Sr3Tc4 | PBE-GGA | relaxed

Calculated values
Volume = 171.8 Å³/cell
ΔH_f (0 K) = 1.613 eV per atom
DFT total energy = -5.03 eV/atom

Structure (POSCAR):
```
Sr3Tc4
1.0
6.374 0.000 0.000
-3.187 5.520 0.000
0.000 0.000 4.883
Sr Tc
3 4
Direct
0.000 0.500 0.000
0.500 0.000 0.000
0.500 0.500 0.000
0.000 0.000 0.227
0.000 0.000 0.773
0.333 0.667 0.500
0.667 0.333 0.500
```

=====

9.
K2Rb6Au3O | PBE-GGA | relaxed

Calculated values
Volume = 597.7 Å³/cell
Formation energy (no corrections) = -369 meV/atom
DFT total energy = -2.27 eV/atom

Structure (POSCAR):
```
K2Rb6Au3O
1.0
8.560 -4.487 0.000
8.560 4.487 0.000
-0.287 0.000 7.782
K Rb Au O
2 6 3 1
Direct
0.180 0.180 0.204
0.820 0.820 0.796
0.204 0.653 0.293
0.347 0.796 0.707
0.371 0.371 0.710
0.629 0.629 0.290
0.653 0.204 0.293
0.796 0.347 0.707
0.000 0.000 0.000
0.000 0.500 0.500
0.500 0.000 0.500
0.500 0.500 0.500
```

=====

10.
CoOsAu2 | PBE-GGA | relaxed

Calculated values
Volume = 63.1 Å³/cell
ΔH_f (0 K) = 0.601 eV per atom
DFT total energy = -5.62 eV/atom

Structure (POSCAR):
```
CoOsAu2
1.0
1.393 -2.360 0.000
1.393 2.360 0.000
0.000 0.000 9.591
Co Os Au
1 1 2
Direct
0.000 0.000 0.000
0.000 0.000 0.500
0.500 0.500 0.238
0.500 0.500 0.762
```

=====

11.
NdDy3Ho | PBE-GGA | relaxed

Calculated values
Volume = 325.4 Å³/cell
ΔH_f (0 K) = 0.015 eV per atom
DFT total energy = -4.62 eV/atom

Structure (POSCAR):
```
NdDy3Ho
1.0
6.300 0.000 0.000
0.000 5.682 0.000
-3.137 0.000 9.089
Nd Dy Ho
2 6 2
Direct
0.069 0.250 0.300
0.931 0.750 0.700
0.135 0.750 0.098
0.268 0.250 0.702
0.336 0.750 0.501
0.664 0.250 0.499
0.732 0.750 0.298
0.865 0.250 0.902
0.467 0.250 0.099
0.533 0.750 0.901
```

=====

12.
In2FeNiS | PBE-GGA | relaxed

Calculated values
Volume = 103.5 Å³/cell
Formation energy (no corrections) = 463 meV/atom
DFT total energy = -4.31 eV/atom

Structure (POSCAR):
```
In2FeNiS
1.0
5.095 0.000 0.000
0.000 5.095 0.000
0.000 0.000 3.988
In Fe Ni S
2 1 1 1
Direct
0.000 0.500 0.000
0.500 0.000 0.000
0.000 0.000 0.000
0.500 0.500 0.500
0.000 0.000 0.500
```

=====

What did the seventh record say?
BaTc2Rh | PBE-GGA | relaxed

Calculated values
Volume = 80.5 Å³/cell
ΔH_f (0 K) = 0.453 eV per atom
DFT total energy = -7.05 eV/atom

Structure (POSCAR):
```
BaTc2Rh
1.0
3.182 0.000 0.000
0.000 3.182 0.000
0.000 0.000 7.955
Ba Tc Rh
1 2 1
Direct
0.000 0.000 0.000
0.000 0.000 0.509
0.500 0.500 0.662
0.500 0.500 0.310
```

=====

Question: Among the records above, which one has the highest volume?
Answer: K2Rb6Au3O